# UTe2BrO8

An optimized crystal structure of UTe2BrO8 (PBE, Alexandria via LeMat-Bulk).

The calculation puts the mass density at 4.96 g/cm³. Its crystal system is trigonal. For the uncorrected formation energy, the calculation gives -1190 meV per atom. The total energy is -73.19 eV per formula unit.

The space group is P-3m1 (No. 164) and the conventional cell measures 6.1112, 6.1112 and 7.2600 Å, with angles of 90.00, 90.00 and 120.00 degrees. The asymmetric unit holds U at (0.0000, 0.0000, 0.0000), Te at (0.3333, 0.6667, 0.7286), Br at (0.0000, 0.0000, 0.5000), O at (0.1747, 0.3493, 0.8519) and O at (0.3333, 0.6667, 0.4800).